VASP calculation (PBE) on a relaxed structure of Cd3CuN.

Properties
As for the crystal system: cubic. The calculation puts the magnetic moment at 0.00 μB per formula unit. The total energy comes out at -2.4434 eV/atom. For the uncorrected formation energy, the calculation gives 0.590 eV/atom.

Cell: 4.5734 4.5734 4.5734 Å, 90.00 90.00 90.00°
Space group Pm-3m (No. 221)
Asymmetric unit:
1 Cd 0.0000 0.0000 0.5000 [3 per cell]
2 Cu 0.5000 0.5000 0.5000 [1 per cell]
3 N 0.0000 0.0000 0.0000 [1 per cell]



VASP calculation (PBE) on a relaxed structure of Cd3CuN.

Properties
As for the crystal system: cubic. The calculation puts the magnetic moment at 0.00 μB per formula unit. The total energy comes out at -1.7454 eV/atom. For the uncorrected formation energy, the calculation gives 1.288 eV/atom.

Cell: 4.8916 4.8916 4.8916 Å, 90.00 90.00 90.00°
Space group Pm-3m (No. 221)
Asymmetric unit:
1 Cd 0.0000 0.0000 0.5000 [3 per cell]
2 Cu 0.0000 0.0000 0.0000 [1 per cell]
3 N 0.5000 0.5000 0.5000 [1 per cell]



VASP calculation (PBE) on a relaxed structure of CdCu2N.

Properties
As for the crystal system: tetragonal. The calculation puts the magnetic moment at 0.00 μB per formula unit. The total energy comes out at -3.9640 eV/atom. For the uncorrected formation energy, the calculation gives 0.394 eV/atom.

Cell: 4.9340 4.9340 10.9303 Å, 90.00 90.00 90.00°
Space group I-42d (No. 122)
Asymmetric unit:
1 Cd 0.0000 0.0000 0.0000 [4 per cell]
2 Cu 0.0315 0.2500 0.6250 [8 per cell]
3 N 0.0000 0.0000 0.5000 [4 per cell]



VASP calculation (PBE) on a relaxed structure of CdCuPtN2.

Properties
As for the crystal system: tetragonal. The calculation puts the magnetic moment at 0.00 μB per formula unit. The total energy comes out at -4.3838 eV/atom. For the uncorrected formation energy, the calculation gives 1.157 eV/atom.

Cell: 3.8060 3.8060 5.5272 Å, 90.00 90.00 90.00°
Space group P4/mmm (No. 123)
Asymmetric unit:
1 Cd 0.0000 0.0000 0.0000 [1 per cell]
2 Cu 0.5000 0.5000 0.0000 [1 per cell]
3 Pt 0.5000 0.5000 0.5000 [1 per cell]
4 N 0.0000 0.5000 0.5000 [2 per cell]



VASP calculation (PBE) on a relaxed structure of CdCuRh2N.

Properties
As for the crystal system: tetragonal. The calculation puts the magnetic moment at 0.00 μB per formula unit. The total energy comes out at -5.5226 eV/atom. For the uncorrected formation energy, the calculation gives 0.085 eV/atom.

Cell: 4.1135 4.1135 4.0048 Å, 90.00 90.00 90.00°
Space group P4/mmm (No. 123)
Asymmetric unit:
1 Cd 0.0000 0.0000 0.0000 [1 per cell]
2 Cu 0.5000 0.5000 0.0000 [1 per cell]
3 Rh 0.0000 0.5000 0.5000 [2 per cell]
4 N 0.5000 0.5000 0.5000 [1 per cell]



VASP calculation (PBE) on a relaxed structure of CdCuS2N.

Properties
As for the crystal system: tetragonal. The calculation puts the magnetic moment at 1.64 μB per formula unit. The total energy comes out at -3.5669 eV/atom. For the uncorrected formation energy, the calculation gives 0.751 eV/atom.

Cell: 4.8134 4.8134 3.6408 Å, 90.00 90.00 90.00°
Space group P4/mmm (No. 123)
Asymmetric unit:
1 Cd 0.0000 0.0000 0.0000 [1 per cell]
2 Cu 0.5000 0.5000 0.5000 [1 per cell]
3 S 0.0000 0.5000 0.5000 [2 per cell]
4 N 0.5000 0.5000 0.0000 [1 per cell]



VASP calculation (PBE) on a relaxed structure of CdCuS2N.

Properties
As for the crystal system: tetragonal. The calculation puts the magnetic moment at 0.00 μB per formula unit. The total energy comes out at -2.7469 eV/atom. For the uncorrected formation energy, the calculation gives 1.571 eV/atom.

Cell: 5.0242 5.0242 4.0763 Å, 90.00 90.00 90.00°
Space group P4/mmm (No. 123)
Asymmetric unit:
1 Cd 0.0000 0.0000 0.0000 [1 per cell]
2 Cu 0.5000 0.5000 0.5000 [1 per cell]
3 S 0.0000 0.5000 0.0000 [2 per cell]
4 N 0.0000 0.0000 0.5000 [1 per cell]



VASP calculation (PBE) on a relaxed structure of CdCu2SbN.

Properties
As for the crystal system: tetragonal. The calculation puts the magnetic moment at 0.00 μB per formula unit. The total energy comes out at -3.8233 eV/atom. For the uncorrected formation energy, the calculation gives 0.488 eV/atom.

Cell: 4.0296 4.0296 5.0568 Å, 90.00 90.00 90.00°
Space group P4/mmm (No. 123)
Asymmetric unit:
1 Cd 0.0000 0.0000 0.0000 [1 per cell]
2 Cu 0.0000 0.5000 0.5000 [2 per cell]
3 Sb 0.5000 0.5000 0.0000 [1 per cell]
4 N 0.0000 0.0000 0.5000 [1 per cell]



VASP calculation (PBE) on a relaxed structure of CdCuSiN2.

Properties
As for the crystal system: tetragonal. The calculation puts the magnetic moment at 0.00 μB per formula unit. The total energy comes out at -3.1641 eV/atom. For the uncorrected formation energy, the calculation gives 2.253 eV/atom.

Cell: 4.0877 4.0877 5.3017 Å, 90.00 90.00 90.00°
Space group P4/mmm (No. 123)
Asymmetric unit:
1 Cd 0.0000 0.0000 0.0000 [1 per cell]
2 Cu 0.5000 0.5000 0.5000 [1 per cell]
3 Si 0.0000 0.0000 0.5000 [1 per cell]
4 N 0.0000 0.5000 0.0000 [2 per cell]



VASP calculation (PBE) on a relaxed structure of Sr2CdCuN.

Properties
As for the crystal system: tetragonal. The calculation puts the magnetic moment at 0.00 μB per formula unit. The total energy comes out at -3.5927 eV/atom. For the uncorrected formation energy, the calculation gives -0.253 eV/atom.

Cell: 5.5302 5.5302 3.8065 Å, 90.00 90.00 90.00°
Space group P4/mmm (No. 123)
Asymmetric unit:
1 Sr 0.0000 0.5000 0.0000 [2 per cell]
2 Cd 0.0000 0.0000 0.5000 [1 per cell]
3 Cu 0.5000 0.5000 0.5000 [1 per cell]
4 N 0.5000 0.5000 0.0000 [1 per cell]



VASP calculation (PBE) on a relaxed structure of TaCdCu2N.

Properties
As for the crystal system: tetragonal. The calculation puts the magnetic moment at 0.29 μB per formula unit. The total energy comes out at -4.0510 eV/atom. For the uncorrected formation energy, the calculation gives 1.806 eV/atom.

Cell: 4.7203 4.7203 3.9381 Å, 90.00 90.00 90.00°
Space group P4/mmm (No. 123)
Asymmetric unit:
1 Ta 0.0000 0.0000 0.0000 [1 per cell]
2 Cd 0.5000 0.5000 0.5000 [1 per cell]
3 Cu 0.0000 0.5000 0.5000 [2 per cell]
4 N 0.5000 0.5000 0.0000 [1 per cell]



VASP calculation (PBE) on a relaxed structure of Cd2CuTcN.

Properties
As for the crystal system: tetragonal. The calculation puts the magnetic moment at 2.80 μB per formula unit. The total energy comes out at -4.0473 eV/atom. For the uncorrected formation energy, the calculation gives 0.876 eV/atom.

Cell: 4.8102 4.8102 3.6194 Å, 90.00 90.00 90.00°
Space group P4/mmm (No. 123)
Asymmetric unit:
1 Cd 0.0000 0.5000 0.0000 [2 per cell]
2 Cu 0.0000 0.0000 0.5000 [1 per cell]
3 Tc 0.5000 0.5000 0.5000 [1 per cell]
4 N 0.0000 0.0000 0.0000 [1 per cell]